# 1
## RbHf2Br9 (PBE)

Data for a geometry-optimized RbHf2Br9 structure.

For the spin magnetization, the calculation gives 0.02 μB/cell.

It has space group P2/c (No. 13), with a = 10.0095 Å, b = 6.7405 Å, c = 12.9506 Å, α = 90.00°, β = 112.91° and γ = 90.00°. The inequivalent atoms are Rb at (0.0000, 0.0913, 0.2500), Hf at (0.3221, 0.2413, 0.6322), Br at (0.1063, 0.3938, 0.6564), Br at (0.2017, 0.0864, 0.0558), Br at (0.2899, 0.3978, 0.4489), Br at (0.4142, 0.0874, 0.8462) and Br at (0.5000, 0.4588, 0.2500).

=====

# 2
## TmSi (PBE)

Data for a geometry-optimized TmSi structure.

For the spin magnetization, the calculation gives 0.00 μB/cell.

It has space group P-6m2 (No. 187), with a = 3.4953 Å, b = 3.4953 Å, c = 4.2457 Å, α = 90.00°, β = 90.00° and γ = 120.00°. The inequivalent atoms are Tm at (0.0000, 0.0000, 0.0000) and Si at (0.3333, 0.6667, 0.5000).

=====

# 3
## PaFeRe (PBE)

Data for a geometry-optimized PaFeRe structure.

The polymorph energy (0 for the lowest one) is 1.426 eV per formula unit. For the spin magnetization, the calculation gives 6.13 μB/cell.

It has space group F-43m (No. 216), with a = 6.1201 Å, b = 6.1201 Å, c = 6.1201 Å, α = 90.00°, β = 90.00° and γ = 90.00°. The inequivalent atoms are Pa at (0.0000, 0.0000, 0.0000), Fe at (0.2500, 0.2500, 0.7500) and Re at (0.2500, 0.2500, 0.2500).

=====

# 4
## Hf2ScGe (PBE)

Data for a geometry-optimized Hf2ScGe structure.

For the spin magnetization, the calculation gives 3.96 μB/cell.

It has space group F-43m (No. 216), with a = 6.8377 Å, b = 6.8377 Å, c = 6.8377 Å, α = 90.00°, β = 90.00° and γ = 90.00°. The inequivalent atoms are Hf at (0.0000, 0.0000, 0.0000), Hf at (0.2500, 0.2500, 0.2500), Sc at (0.2500, 0.2500, 0.7500) and Ge at (0.0000, 0.0000, 0.5000).

=====

# 5
## Ga4Ni3 (PBE)

Data for a geometry-optimized Ga4Ni3 structure.

For the spin magnetization, the calculation gives 0.05 μB/cell.

It has space group Ia-3d (No. 230), with a = 11.4692 Å, b = 11.4692 Å, c = 11.4692 Å, α = 90.00°, β = 90.00° and γ = 90.00°. The inequivalent atoms are Ga at (0.0000, 0.0000, 0.0000), Ga at (0.0000, 0.2500, 0.0123) and Ni at (0.1170, 0.1250, 0.8670).

=====

# 6
## Cs2Ni3S4 (PBE)

Data for a geometry-optimized Cs2Ni3S4 structure.

For the spin magnetization, the calculation gives 0.01 μB/cell.

It has space group Fmmm (No. 69), with a = 5.9844 Å, b = 10.1266 Å, c = 14.4162 Å, α = 90.00°, β = 90.00° and γ = 90.00°. The inequivalent atoms are Cs at (0.0000, 0.0000, 0.1621), Ni at (0.0000, 0.0000, 0.5000), Ni at (0.2500, 0.2500, 0.0000) and S at (0.0000, 0.1678, 0.4017).

=====

# 7
## RbNbAg (PBE)

Data for a geometry-optimized RbNbAg structure.

The polymorph energy (0 for the lowest one) is 0.000 eV per formula unit. For the spin magnetization, the calculation gives 18.13 μB/cell.

It has space group F-43m (No. 216), with a = 7.4674 Å, b = 7.4674 Å, c = 7.4674 Å, α = 90.00°, β = 90.00° and γ = 90.00°. The inequivalent atoms are Rb at (0.0000, 0.0000, 0.0000), Nb at (0.0000, 0.0000, 0.5000) and Ag at (0.2500, 0.2500, 0.7500).

=====

# 8
## LiMgNb2Al2Os2 (PBE)

Data for a geometry-optimized LiMgNb2Al2Os2 structure.

For the spin magnetization, the calculation gives 0.00 μB/cell.

It has space group P-4m2 (No. 115), with a = 4.4090 Å, b = 4.4090 Å, c = 6.2773 Å, α = 90.00°, β = 90.00° and γ = 90.00°. The inequivalent atoms are Li at (0.0000, 0.0000, 0.0000), Mg at (0.5000, 0.5000, 0.5000), Nb at (0.0000, 0.5000, 0.7570), Al at (0.0000, 0.5000, 0.2399), Os at (0.0000, 0.0000, 0.5000) and Os at (0.5000, 0.5000, 0.0000).

=====

# 9
## ScTaSb2Ir2 (PBE)

Data for a geometry-optimized ScTaSb2Ir2 structure.

For the spin magnetization, the calculation gives 0.00 μB/cell.

It has space group Pmn2_1 (No. 31), with a = 4.4412 Å, b = 8.8686 Å, c = 6.2726 Å, α = 90.00°, β = 90.00° and γ = 90.00°. The inequivalent atoms are Sc at (0.0000, 0.1247, 0.0000), Ta at (0.0000, 0.6232, 0.9886), Sb at (0.0000, 0.1192, 0.5029), Sb at (0.0000, 0.6318, 0.4827), Ir at (0.0000, 0.3856, 0.7288) and Ir at (0.0000, 0.8626, 0.7582).

=====

# 10
## ZrBe (PBE)

Data for a geometry-optimized ZrBe structure.

For the spin magnetization, the calculation gives 0.00 μB/cell.

It has space group Pm (No. 6), with a = 6.0990 Å, b = 3.9412 Å, c = 7.0740 Å, α = 90.00°, β = 109.24° and γ = 90.00°. The inequivalent atoms are Zr at (0.0000, 0.0000, 0.0000), Zr at (0.0278, 0.5000, 0.6741), Zr at (0.2540, 0.0000, 0.4564), Zr at (0.5997, 0.5000, 0.8410), Zr at (0.6863, 0.0000, 0.2512), Be at (0.3349, 0.5000, 0.1177), Be at (0.3555, 0.0000, 0.8920), Be at (0.5526, 0.5000, 0.4451), Be at (0.7121, 0.0000, 0.6214) and Be at (0.9842, 0.5000, 0.2456).

=====

# 11
## TaBe2Al (PBE)

Data for a geometry-optimized TaBe2Al structure.

For the spin magnetization, the calculation gives 0.03 μB/cell.

It has space group F-43m (No. 216), with a = 5.9629 Å, b = 5.9629 Å, c = 5.9629 Å, α = 90.00°, β = 90.00° and γ = 90.00°. The inequivalent atoms are Ta at (0.0000, 0.0000, 0.0000), Be at (0.0000, 0.0000, 0.5000), Be at (0.2500, 0.2500, 0.2500) and Al at (0.2500, 0.2500, 0.7500).

=====

# 12
## Nd3Co13B2 (PBE)

Data for a geometry-optimized Nd3Co13B2 structure.

For the spin magnetization, the calculation gives 8.22 μB/cell.

It has space group P6/mmm (No. 191), with a = 5.0631 Å, b = 5.0631 Å, c = 10.7487 Å, α = 90.00°, β = 90.00° and γ = 120.00°. The inequivalent atoms are Nd at (0.0000, 0.0000, 0.0000), Nd at (0.0000, 0.0000, 0.3227), Co at (0.0000, 0.5000, 0.1345), Co at (0.0000, 0.5000, 0.5000), Co at (0.3333, 0.6667, 0.3182) and B at (0.3333, 0.6667, 0.0000).

=====

# 13
## SnAsIrO (PBE)

Data for a geometry-optimized SnAsIrO structure.

The polymorph energy (0 for the lowest one) is 4.530 eV per formula unit. For the spin magnetization, the calculation gives 0.02 μB/cell.

It has space group P4/nmm (No. 129, origin choice 2), with a = 4.2163 Å, b = 4.2163 Å, c = 8.1519 Å, α = 90.00°, β = 90.00° and γ = 90.00°. The inequivalent atoms are Sn at (0.2500, 0.7500, 0.0000), As at (0.2500, 0.2500, 0.2615), Ir at (0.2500, 0.2500, 0.5640) and O at (0.2500, 0.7500, 0.5000).

=====

# 14
## AgPdNO (PBE)

Data for a geometry-optimized AgPdNO structure.

The polymorph energy (0 for the lowest one) is 0.880 eV per formula unit.

It has space group P4/nmm (No. 129, origin choice 2), with a = 4.1404 Å, b = 4.1404 Å, c = 6.7930 Å, α = 90.00°, β = 90.00° and γ = 90.00°. The inequivalent atoms are Ag at (0.2500, 0.7500, 0.0000), Pd at (0.2500, 0.2500, 0.4241), N at (0.2500, 0.2500, 0.1351) and O at (0.2500, 0.7500, 0.5000).

=====

# 15
## RbLaCdS3 (PBE)

Data for a geometry-optimized RbLaCdS3 structure.

For the spin magnetization, the calculation gives 0.00 μB/cell.

It has space group C2/m (No. 12), with a = 17.6039 Å, b = 4.3207 Å, c = 9.1322 Å, α = 90.00°, β = 104.54° and γ = 90.00°. The inequivalent atoms are Rb at (0.1423, 0.0000, 0.0675), La at (0.1686, 0.0000, 0.5908), Cd at (0.0024, 0.5000, 0.7206), S at (0.0000, 0.0000, 0.5000), S at (0.0000, 0.5000, 0.0000), S at (0.1582, 0.5000, 0.7858) and S at (0.1627, 0.5000, 0.3732).

=====

# 16
## TbDyAg2P4 (PBE)

Data for a geometry-optimized TbDyAg2P4 structure.

For the spin magnetization, the calculation gives 0.01 μB/cell.

It has space group P4mm (No. 99), with a = 3.8507 Å, b = 3.8507 Å, c = 10.1758 Å, α = 90.00°, β = 90.00° and γ = 90.00°. The inequivalent atoms are Tb at (0.0000, 0.0000, 0.0000), Dy at (0.5000, 0.5000, 0.5587), Ag at (0.0000, 0.5000, 0.2799), P at (0.0000, 0.0000, 0.4657), P at (0.0000, 0.5000, 0.7786) and P at (0.5000, 0.5000, 0.0943).

=====

# 17
## HfBPb2 (PBE)

Data for a geometry-optimized HfBPb2 structure.

For the spin magnetization, the calculation gives 0.16 μB/cell.

It has space group F-43m (No. 216), with a = 7.1243 Å, b = 7.1243 Å, c = 7.1243 Å, α = 90.00°, β = 90.00° and γ = 90.00°. The inequivalent atoms are Hf at (0.0000, 0.0000, 0.0000), B at (0.2500, 0.2500, 0.7500), Pb at (0.0000, 0.0000, 0.5000) and Pb at (0.2500, 0.2500, 0.2500).

=====

# 18
## Al4Ni3Pt (PBE)

Data for a geometry-optimized Al4Ni3Pt structure.

For the spin magnetization, the calculation gives 0.02 μB/cell.

It has space group R3 (No. 146, hexagonal axes), with a = 6.6377 Å, b = 6.6377 Å, c = 8.1841 Å, α = 90.00°, β = 90.00° and γ = 120.00°. The inequivalent atoms are Al at (0.0000, 0.0000, 0.0000), Al at (0.1021, 0.4017, 0.2185), Ni at (0.0291, 0.7677, 0.7803) and Pt at (0.0000, 0.0000, 0.3069).

=====

# 19
## LaInPd2 (PBE)

Data for a geometry-optimized LaInPd2 structure.

For the spin magnetization, the calculation gives 0.01 μB/cell.

It has space group P-6m2 (No. 187), with a = 4.6844 Å, b = 4.6844 Å, c = 9.3413 Å, α = 90.00°, β = 90.00° and γ = 120.00°. The inequivalent atoms are La at (0.0000, 0.0000, 0.0000), La at (0.3333, 0.6667, 0.5000), In at (0.6667, 0.3333, 0.2503), Pd at (0.0000, 0.0000, 0.3299) and Pd at (0.3333, 0.6667, 0.1690).

=====

# 20
## ErTm2Cd4In2 (PBE)

Data for a geometry-optimized ErTm2Cd4In2 structure.

For the spin magnetization, the calculation gives 0.01 μB/cell.

It has space group Amm2 (No. 38), with a = 4.5681 Å, b = 12.8903 Å, c = 7.4313 Å, α = 90.00°, β = 90.00° and γ = 90.00°. The inequivalent atoms are Er at (0.0000, 0.0000, 0.0000), Tm at (0.0000, 0.2139, 0.6417), Cd at (0.0000, 0.0000, 0.4284), Cd at (0.5000, 0.0000, 0.6715), Cd at (0.5000, 0.1218, 0.3061) and In at (0.5000, 0.1669, 0.9278).

=====

# 21
## AlZnPt2 (PBE)

Data for a geometry-optimized AlZnPt2 structure.

For the spin magnetization, the calculation gives 0.00 μB/cell.

It has space group F-43m (No. 216), with a = 6.2372 Å, b = 6.2372 Å, c = 6.2372 Å, α = 90.00°, β = 90.00° and γ = 90.00°. The inequivalent atoms are Al at (0.0000, 0.0000, 0.0000), Zn at (0.2500, 0.2500, 0.2500), Pt at (0.0000, 0.0000, 0.5000) and Pt at (0.2500, 0.2500, 0.7500).

=====

# 22
## DyScPa (PBE)

Data for a geometry-optimized DyScPa structure.

The polymorph energy (0 for the lowest one) is 0.000 eV per formula unit. For the spin magnetization, the calculation gives 11.12 μB/cell.

It has space group F-43m (No. 216), with a = 7.2319 Å, b = 7.2319 Å, c = 7.2319 Å, α = 90.00°, β = 90.00° and γ = 90.00°. The inequivalent atoms are Dy at (0.0000, 0.0000, 0.0000), Sc at (0.2500, 0.2500, 0.2500) and Pa at (0.0000, 0.0000, 0.5000).

=====

| no. | final energy (eV per atom) |
| --- | --- |
| 1 | -4.464 |
| 2 | -5.206 |
| 3 | -9.236 |
| 4 | -7.774 |
| 5 | -4.521 |
| 6 | -4.620 |
| 7 | -3.041 |
| 8 | -7.040 |
| 9 | -8.128 |
| 10 | -6.187 |
| 11 | -5.362 |
| 12 | -6.780 |
| 13 | -5.212 |
| 14 | -4.612 |
| 15 | -4.569 |
| 16 | -5.275 |
| 17 | -4.886 |
| 18 | -5.462 |
| 19 | -5.309 |
| 20 | -2.867 |
| 21 | -4.738 |
| 22 | -5.829 |